Here is a geometry-optimized ScNiSnPd structure from Alexandria. Energies are from PBE-GGA.

Cell: 6.452 6.452 6.452 Å, 90.00 90.00 90.00°
Space group F-43m (No. 216)
Asymmetric unit:
Sc  0.000  0.000  0.000 [4 per cell]
Ni  0.250  0.250  0.750 [4 per cell]
Sn  0.000  0.000  0.500 [4 per cell]
Pd  0.250  0.250  0.250 [4 per cell]

Summary:
Raw total energy: -96.2 eV for the cell shown
Formation energy: -2.73 eV per formula unit